DFT (PBE) results for CsLa3Si after structural relaxation.

The space group is Pm-3m (No. 221) and the conventional cell measures 5.7706, 5.7706 and 5.7706 Å, with angles of 90.00, 90.00 and 90.00 degrees. The asymmetric unit holds Cs at (0.0000, 0.0000, 0.0000), La at (0.0000, 0.0000, 0.5000) and Si at (0.5000, 0.5000, 0.5000).

The volume is 192 Å³/cell. For the theoretical density, the calculation gives 4.99 Mg/m³. As for the crystal system: cubic. The energy above the most stable polymorph in this dataset is 100.54 kJ/mol of atoms. As for the formation energy without anion corrections: 1162 meV/atom.